BaSn7Hg12, optimized geometry, DFT PBE-GGA; N(E_F) = 11.29 states/eV per cell; formation enthalpy at 0 K = 0.092 eV per atom; volume = 32.112 Å³ per atom
1.0
-5.435 5.435 5.435
5.435 -5.435 5.435
5.435 5.435 -5.435
Ba Sn Hg
1 7 12
direct
0.000 0.000 0.000
0.000 0.000 0.500
0.000 0.500 0.000
0.000 0.500 0.500
0.500 0.000 0.000
0.500 0.000 0.500
0.500 0.500 0.000
0.500 0.500 0.500
0.120 0.784 0.336
0.216 0.336 0.553
0.216 0.664 0.880
0.336 0.120 0.784
0.336 0.553 0.216
0.447 0.784 0.664
0.553 0.216 0.336
0.664 0.447 0.784
0.664 0.880 0.216
0.784 0.336 0.120
0.784 0.664 0.447
0.880 0.216 0.664